Material: BaCd2InAu
Method: DFT, PBE
State: relaxed

Output
DOS(E_F) in states/eV per atom: 0.667
Formation enthalpy at 0 K in eV/atom: -0.41

```
data_BaCd2InAu
_cell_length_a 4.6118
_cell_length_b 4.7972
_cell_length_c 12.7229
_cell_angle_alpha 90.00
_cell_angle_beta 90.00
_cell_angle_gamma 90.00
_space_group_name_H-M_alt 'I m m 2'
_space_group_IT_number 44
_space_group_name_Hall 'I 2 -2'
loop_
_atom_site_label
_atom_site_type_symbol
_atom_site_fract_x
_atom_site_fract_y
_atom_site_fract_z
Ba1 Ba 0.0000 0.0000 0.0000
Cd1 Cd 0.0000 0.0000 0.6167
Cd2 Cd 0.0000 0.5000 0.2637
In1 In 0.0000 0.5000 0.7596
Au1 Au 0.0000 0.0000 0.3949
```

***

Material: TeAs
Method: DFT, PBE
State: relaxed

Output
DOS(E_F) in states/eV per atom: 0.565
Raw formation energy in eV/atom: 0.0918

```
data_TeAs
_cell_length_a 5.9410
_cell_length_b 5.9410
_cell_length_c 5.9410
_cell_angle_alpha 90.00
_cell_angle_beta 90.00
_cell_angle_gamma 90.00
_space_group_name_H-M_alt 'F m -3 m'
_space_group_IT_number 225
_space_group_name_Hall '-F 4 2 3'
loop_
_atom_site_label
_atom_site_type_symbol
_atom_site_fract_x
_atom_site_fract_y
_atom_site_fract_z
Te1 Te 0.0000 0.0000 0.0000
As1 As 0.0000 0.0000 0.5000
```

***

Material: Pa2Fe5Co12
Method: DFT, PBE
State: relaxed

Output
DOS(E_F) in states/eV per atom: 1.174
Formation enthalpy at 0 K in eV/atom: -0.12

```
data_Pa2Fe5Co12
_cell_length_a 8.2740
_cell_length_b 8.2740
_cell_length_c 12.2208
_cell_angle_alpha 90.00
_cell_angle_beta 90.00
_cell_angle_gamma 120.00
_space_group_name_H-M_alt 'R -3 m'
_space_group_IT_number 166
_space_group_name_Hall '-R 3 2"'
loop_
_atom_site_label
_atom_site_type_symbol
_atom_site_fract_x
_atom_site_fract_y
_atom_site_fract_z
Pa1 Pa 0.0000 0.0000 0.1572
Fe1 Fe 0.0000 0.0000 0.4026
Fe2 Fe 0.0000 0.5000 0.0000
Co1 Co 0.0000 0.2917 0.5000
Co2 Co 0.0038 0.5019 0.6530
```

***

Material: LiTmRu4
Method: DFT, PBE
State: relaxed

Output
DOS(E_F) in states/eV per atom: 1.637
Formation enthalpy at 0 K in eV/atom: 0.02

```
data_LiTmRu4
_cell_length_a 7.3632
_cell_length_b 7.3632
_cell_length_c 7.3632
_cell_angle_alpha 90.00
_cell_angle_beta 90.00
_cell_angle_gamma 90.00
_space_group_name_H-M_alt 'F -4 3 m'
_space_group_IT_number 216
_space_group_name_Hall 'F -4 2 3'
loop_
_atom_site_label
_atom_site_type_symbol
_atom_site_fract_x
_atom_site_fract_y
_atom_site_fract_z
Li1 Li 0.0000 0.0000 0.0000
Tm1 Tm 0.2500 0.2500 0.2500
Ru1 Ru 0.1254 0.1254 0.6254
```

***

Material: CeNdPtO6
Method: DFT, PBE
State: relaxed

Output
DOS(E_F) in states/eV per atom: 0.993
Raw formation energy in eV/atom: -2.1582

```
data_CeNdPtO6
_cell_length_a 5.5654
_cell_length_b 5.5654
_cell_length_c 10.0496
_cell_angle_alpha 90.00
_cell_angle_beta 90.00
_cell_angle_gamma 120.00
_space_group_name_H-M_alt 'P -3 1 c'
_space_group_IT_number 163
_space_group_name_Hall '-P 3 2c'
loop_
_atom_site_label
_atom_site_type_symbol
_atom_site_fract_x
_atom_site_fract_y
_atom_site_fract_z
Ce1 Ce 0.3333 0.6667 0.2500
Nd1 Nd 0.0000 0.0000 0.0000
Pt1 Pt 0.3333 0.6667 0.7500
O1 O 0.0337 0.3686 0.6372
```

***

Material: FeOs2PdC
Method: DFT, PBE
State: relaxed

Output
DOS(E_F) in states/eV per atom: 1.313
Formation enthalpy at 0 K in eV/atom: 3.47

```
data_FeOs2PdC
_cell_length_a 4.7875
_cell_length_b 4.7875
_cell_length_c 4.5570
_cell_angle_alpha 90.00
_cell_angle_beta 90.00
_cell_angle_gamma 90.00
_space_group_name_H-M_alt 'P 4/m m m'
_space_group_IT_number 123
_space_group_name_Hall '-P 4 2'
loop_
_atom_site_label
_atom_site_type_symbol
_atom_site_fract_x
_atom_site_fract_y
_atom_site_fract_z
Fe1 Fe 0.0000 0.0000 0.0000
Os1 Os 0.0000 0.5000 0.5000
Pd1 Pd 0.0000 0.0000 0.5000
C1 C 0.5000 0.5000 0.0000
```

***

Material: SrTmO2
Method: DFT, PBE
State: relaxed

Output
DOS(E_F) in states/eV per atom: 0.388
Energy relative to the lowest polymorph listed for this composition in meV/atom: 0
Raw formation energy in eV/atom: -2.7101

```
data_SrTmO2
_cell_length_a 3.5588
_cell_length_b 3.5588
_cell_length_c 20.6546
_cell_angle_alpha 90.00
_cell_angle_beta 90.00
_cell_angle_gamma 120.00
_space_group_name_H-M_alt 'R -3 m'
_space_group_IT_number 166
_space_group_name_Hall '-R 3 2"'
loop_
_atom_site_label
_atom_site_type_symbol
_atom_site_fract_x
_atom_site_fract_y
_atom_site_fract_z
Sr1 Sr 0.0000 0.0000 0.0000
Tm1 Tm 0.0000 0.0000 0.5000
O1 O 0.0000 0.0000 0.1155
```

***

Material: Na4Tl5Pd
Method: DFT, PBE
State: relaxed

Output
DOS(E_F) in states/eV per atom: 0.573
Energy relative to the lowest polymorph listed for this composition in meV/atom: 0
Formation enthalpy at 0 K in eV/atom: -0.12

```
data_Na4Tl5Pd
_cell_length_a 3.4475
_cell_length_b 3.4475
_cell_length_c 22.4133
_cell_angle_alpha 90.00
_cell_angle_beta 90.00
_cell_angle_gamma 90.00
_space_group_name_H-M_alt 'P 4/m m m'
_space_group_IT_number 123
_space_group_name_Hall '-P 4 2'
loop_
_atom_site_label
_atom_site_type_symbol
_atom_site_fract_x
_atom_site_fract_y
_atom_site_fract_z
Na1 Na 0.0000 0.0000 0.1064
Na2 Na 0.0000 0.0000 0.3219
Tl1 Tl 0.5000 0.5000 0.0000
Tl2 Tl 0.5000 0.5000 0.2139
Tl3 Tl 0.5000 0.5000 0.4247
Pd1 Pd 0.0000 0.0000 0.5000
```

***

Material: KNaMg2Pt
Method: DFT, PBE
State: relaxed

Output
DOS(E_F) in states/eV per atom: 0.394
Formation enthalpy at 0 K in eV/atom: -0.23

```
data_KNaMg2Pt
_cell_length_a 5.1437
_cell_length_b 5.1437
_cell_length_c 5.6696
_cell_angle_alpha 90.00
_cell_angle_beta 90.00
_cell_angle_gamma 90.00
_space_group_name_H-M_alt 'P 4/m m m'
_space_group_IT_number 123
_space_group_name_Hall '-P 4 2'
loop_
_atom_site_label
_atom_site_type_symbol
_atom_site_fract_x
_atom_site_fract_y
_atom_site_fract_z
K1 K 0.0000 0.0000 0.0000
Na1 Na 0.5000 0.5000 0.0000
Mg1 Mg 0.0000 0.5000 0.5000
Pt1 Pt 0.5000 0.5000 0.5000
```

***

Material: Tb2DyY7
Method: DFT, PBE
State: relaxed

Output
DOS(E_F) in states/eV per atom: 1.463
Energy relative to the lowest polymorph listed for this composition in meV/atom: 585
Formation enthalpy at 0 K in eV/atom: 0.70

```
data_Tb2DyY7
_cell_length_a 8.7855
_cell_length_b 16.1312
_cell_length_c 5.5867
_cell_angle_alpha 90.00
_cell_angle_beta 90.00
_cell_angle_gamma 90.00
_space_group_name_H-M_alt 'C m m m'
_space_group_IT_number 65
_space_group_name_Hall '-C 2 2'
loop_
_atom_site_label
_atom_site_type_symbol
_atom_site_fract_x
_atom_site_fract_y
_atom_site_fract_z
Tb1 Tb 0.0000 0.2035 0.0000
Dy1 Dy 0.0000 0.5000 0.5000
Y1 Y 0.0000 0.0000 0.0000
Y2 Y 0.0000 0.2831 0.5000
Y3 Y 0.1771 0.3858 0.0000
```

***

Material: PaZnCu5
Method: DFT, PBE
State: relaxed

Output
DOS(E_F) in states/eV per atom: 0.620
Formation enthalpy at 0 K in eV/atom: -0.10

```
data_PaZnCu5
_cell_length_a 8.0221
_cell_length_b 5.0258
_cell_length_c 10.1667
_cell_angle_alpha 90.00
_cell_angle_beta 90.00
_cell_angle_gamma 90.00
_space_group_name_H-M_alt 'P n m a'
_space_group_IT_number 62
_space_group_name_Hall '-P 2ac 2n'
loop_
_atom_site_label
_atom_site_type_symbol
_atom_site_fract_x
_atom_site_fract_y
_atom_site_fract_z
Pa1 Pa 0.2425 0.2500 0.0601
Zn1 Zn 0.1428 0.7500 0.8587
Cu1 Cu 0.0659 0.0064 0.3084
Cu2 Cu 0.0669 0.7500 0.0955
Cu3 Cu 0.0947 0.2500 0.5163
Cu4 Cu 0.1807 0.2500 0.7555
```

***

Material: Sm2Ni3Sn4Pd
Method: DFT, PBE
State: relaxed

Output
DOS(E_F) in states/eV per atom: 0.518
Formation enthalpy at 0 K in eV/atom: -0.58

```
data_Sm2Ni3Sn4Pd
_cell_length_a 4.4685
_cell_length_b 4.4685
_cell_length_c 10.2706
_cell_angle_alpha 90.00
_cell_angle_beta 90.00
_cell_angle_gamma 90.00
_space_group_name_H-M_alt 'P -4 m 2'
_space_group_IT_number 115
_space_group_name_Hall 'P -4 -2'
loop_
_atom_site_label
_atom_site_type_symbol
_atom_site_fract_x
_atom_site_fract_y
_atom_site_fract_z
Sm1 Sm 0.0000 0.5000 0.2433
Ni1 Ni 0.0000 0.0000 0.0000
Ni2 Ni 0.0000 0.5000 0.6240
Sn1 Sn 0.0000 0.0000 0.5000
Sn2 Sn 0.0000 0.5000 0.8656
Sn3 Sn 0.5000 0.5000 0.5000
Pd1 Pd 0.5000 0.5000 0.0000
```